[1]
# LaCdRe2 PBE relaxed
# - ΔE_f: 0.834 eV per atom
# - Total magnetic moment: 0.0 μB/f.u.
data_LaCdRe2
_cell_length_a 3.381
_cell_length_b 4.867
_cell_length_c 4.846
_cell_angle_alpha 90.00
_cell_angle_beta 90.00
_cell_angle_gamma 90.00
_space_group_name_H-M_alt 'P 1'
_space_group_IT_number 1
loop_
_space_group_symop_operation_xyz
'x,y,z'
loop_
_atom_site_label
_atom_site_fract_x
_atom_site_fract_y
_atom_site_fract_z
Re1 0.000 0.000 0.000
Re2 0.500 0.500 0.000
Cd1 0.500 0.000 0.500
La1 0.000 0.500 0.500



[2]
# BaPAu3 PBE relaxed
# - ΔE_f: -0.380 eV per atom
# - Polymorph energy (0 for the lowest one): 98.7 meV per atom
# - Total magnetic moment: 0.0 μB/f.u.
data_BaPAu3
_cell_length_a 4.983
_cell_length_b 4.983
_cell_length_c 4.983
_cell_angle_alpha 90.00
_cell_angle_beta 90.00
_cell_angle_gamma 90.00
_space_group_name_H-M_alt 'P 1'
_space_group_IT_number 1
loop_
_space_group_symop_operation_xyz
'x,y,z'
loop_
_atom_site_label
_atom_site_fract_x
_atom_site_fract_y
_atom_site_fract_z
P1 0.000 0.000 0.000
Au1 0.000 0.500 0.000
Au2 0.000 0.000 0.500
Au3 0.500 0.000 0.000
Ba1 0.500 0.500 0.500



[3]
# Ba2NaGe2S6 PBE relaxed
# - Total magnetic moment: 0.0 μB/f.u.
# - Uncorrected formation energy: -1.0328 eV per atom
data_Ba2NaGe2S6
_cell_length_a 7.030
_cell_length_b 6.904
_cell_length_c 7.658
_cell_angle_alpha 106.81
_cell_angle_beta 90.00
_cell_angle_gamma 120.61
_space_group_name_H-M_alt 'P 1'
_space_group_IT_number 1
loop_
_space_group_symop_operation_xyz
'x,y,z'
loop_
_atom_site_label
_atom_site_fract_x
_atom_site_fract_y
_atom_site_fract_z
Ba1 0.692 0.384 0.192
Ba2 0.308 0.616 0.808
Na1 0.500 0.000 0.500
Ge1 0.977 0.953 0.672
Ge2 0.023 0.047 0.328
S1 0.787 0.573 0.633
S2 0.188 0.856 0.200
S3 0.332 0.144 0.800
S4 0.812 0.144 0.800
S5 0.668 0.856 0.200
S6 0.213 0.427 0.367



[4]
# Sc5Ni2Os PBE relaxed
# - ΔE_f: -0.419 eV per atom
# - Total magnetic moment: 0.0 μB/f.u.
data_Sc5Ni2Os
_cell_length_a 6.582
_cell_length_b 6.582
_cell_length_c 8.319
_cell_angle_alpha 113.30
_cell_angle_beta 113.30
_cell_angle_gamma 90.00
_space_group_name_H-M_alt 'P 1'
_space_group_IT_number 1
loop_
_space_group_symop_operation_xyz
'x,y,z'
loop_
_atom_site_label
_atom_site_fract_x
_atom_site_fract_y
_atom_site_fract_z
Sc1 0.528 0.676 0.704
Sc2 0.824 0.972 0.296
Sc3 0.000 0.000 0.000
Sc4 0.500 0.500 0.000
Sc5 0.176 0.028 0.704
Sc6 0.676 0.176 0.704
Sc7 0.028 0.528 0.704
Sc8 0.324 0.824 0.296
Sc9 0.972 0.472 0.296
Sc10 0.472 0.324 0.296
Ni1 0.123 0.377 0.000
Ni2 0.623 0.123 0.000
Ni3 0.377 0.877 0.000
Ni4 0.877 0.623 0.000
Os1 0.750 0.750 0.500
Os2 0.250 0.250 0.500



[5]
# PmGdGaSi PBE relaxed
# - Total magnetic moment: 7.1 μB/f.u.
# - Uncorrected formation energy: -0.4978 eV per atom
data_PmGdGaSi
_cell_length_a 5.107
_cell_length_b 5.107
_cell_length_c 5.107
_cell_angle_alpha 60.00
_cell_angle_beta 60.00
_cell_angle_gamma 60.00
_space_group_name_H-M_alt 'P 1'
_space_group_IT_number 1
loop_
_space_group_symop_operation_xyz
'x,y,z'
loop_
_atom_site_label
_atom_site_fract_x
_atom_site_fract_y
_atom_site_fract_z
Si1 0.750 0.750 0.750
Gd1 0.500 0.500 0.500
Ga1 0.250 0.250 0.250
Pm1 0.000 0.000 0.000



[6]
# TePdI PBE relaxed
# - Total magnetic moment: 0.0 μB/f.u.
# - Uncorrected formation energy: -0.0580 eV per atom
data_TePdI
_cell_length_a 5.565
_cell_length_b 5.873
_cell_length_c 5.322
_cell_angle_alpha 90.09
_cell_angle_beta 90.00
_cell_angle_gamma 90.00
_space_group_name_H-M_alt 'P 1'
_space_group_IT_number 1
loop_
_space_group_symop_operation_xyz
'x,y,z'
loop_
_atom_site_label
_atom_site_fract_x
_atom_site_fract_y
_atom_site_fract_z
I1 0.250 0.713 0.499
I2 0.750 0.287 0.501
Pd1 0.250 0.217 0.500
Pd2 0.750 0.783 0.500
Te1 0.250 0.112 0.000
Te2 0.750 0.888 0.000



[7]
# ErZn9Cu2 PBE relaxed
# - ΔE_f: -0.120 eV per atom
# - Polymorph energy (0 for the lowest one): 95.4 meV per atom
# - Total magnetic moment: 0.0 μB/f.u.
data_ErZn9Cu2
_cell_length_a 2.999
_cell_length_b 8.489
_cell_length_c 8.489
_cell_angle_alpha 120.00
_cell_angle_beta 90.00
_cell_angle_gamma 90.00
_space_group_name_H-M_alt 'P 1'
_space_group_IT_number 1
loop_
_space_group_symop_operation_xyz
'x,y,z'
loop_
_atom_site_label
_atom_site_fract_x
_atom_site_fract_y
_atom_site_fract_z
Er1 0.000 0.000 0.000
Zn1 0.500 0.814 0.186
Zn2 0.000 0.000 0.500
Zn3 0.000 0.500 0.500
Zn4 0.500 0.814 0.629
Zn5 0.500 0.186 0.814
Zn6 0.500 0.629 0.814
Zn7 0.500 0.186 0.371
Zn8 0.000 0.500 0.000
Zn9 0.500 0.371 0.186
Cu1 0.000 0.667 0.333
Cu2 0.000 0.333 0.667



[8]
# Hf3TaCd PBE relaxed
# - ΔE_f: 1.030 eV per atom
# - Polymorph energy (0 for the lowest one): 0.0 meV per atom
# - Total magnetic moment: 0.0 μB/f.u.
data_Hf3TaCd
_cell_length_a 5.113
_cell_length_b 5.113
_cell_length_c 5.113
_cell_angle_alpha 90.00
_cell_angle_beta 90.00
_cell_angle_gamma 90.00
_space_group_name_H-M_alt 'P 1'
_space_group_IT_number 1
loop_
_space_group_symop_operation_xyz
'x,y,z'
loop_
_atom_site_label
_atom_site_fract_x
_atom_site_fract_y
_atom_site_fract_z
Cd1 0.500 0.500 0.500
Hf1 0.000 0.500 0.000
Hf2 0.000 0.000 0.500
Hf3 0.500 0.000 0.000
Ta1 0.000 0.000 0.000



[9]
# Tb2Nd2Er2Tm PBE relaxed
# - ΔE_f: 0.085 eV per atom
# - Total magnetic moment: 0.0 μB/f.u.
data_Tb2Nd2Er2Tm
_cell_length_a 3.515
_cell_length_b 6.104
_cell_length_c 11.818
_cell_angle_alpha 71.40
_cell_angle_beta 90.00
_cell_angle_gamma 106.73
_space_group_name_H-M_alt 'P 1'
_space_group_IT_number 1
loop_
_space_group_symop_operation_xyz
'x,y,z'
loop_
_atom_site_label
_atom_site_fract_x
_atom_site_fract_y
_atom_site_fract_z
Tb1 0.449 0.899 0.767
Tb2 0.551 0.101 0.233
Nd1 0.670 0.340 0.915
Nd2 0.330 0.660 0.085
Er1 0.773 0.547 0.365
Er2 0.227 0.453 0.635
Tm1 0.000 0.000 0.500



[10]
# AlVZnCu PBE relaxed
# - ΔE_f: 0.026 eV per atom
# - Polymorph energy (0 for the lowest one): 167.8 meV per atom
# - Total magnetic moment: 2.0 μB/f.u.
data_AlVZnCu
_cell_length_a 4.290
_cell_length_b 4.290
_cell_length_c 4.290
_cell_angle_alpha 60.00
_cell_angle_beta 60.00
_cell_angle_gamma 60.00
_space_group_name_H-M_alt 'P 1'
_space_group_IT_number 1
loop_
_space_group_symop_operation_xyz
'x,y,z'
loop_
_atom_site_label
_atom_site_fract_x
_atom_site_fract_y
_atom_site_fract_z
Zn1 0.500 0.500 0.500
Al1 0.250 0.250 0.250
Cu1 0.000 0.000 0.000
V1 0.750 0.750 0.750



[11]
# PbF6 PBE relaxed
# - Total magnetic moment: 2.0 μB/f.u.
# - Uncorrected formation energy: -1.0224 eV per atom
data_PbF6
_cell_length_a 5.533
_cell_length_b 5.533
_cell_length_c 5.533
_cell_angle_alpha 109.47
_cell_angle_beta 109.47
_cell_angle_gamma 109.47
_space_group_name_H-M_alt 'P 1'
_space_group_IT_number 1
loop_
_space_group_symop_operation_xyz
'x,y,z'
loop_
_atom_site_label
_atom_site_fract_x
_atom_site_fract_y
_atom_site_fract_z
Pb1 0.000 0.000 0.000
F1 0.673 0.000 0.673
F2 0.327 0.000 0.327
F3 0.000 0.673 0.673
F4 0.000 0.327 0.327
F5 0.673 0.673 0.000
F6 0.327 0.327 0.000



[12]
# LiTb2Ge3Rh4 PBE relaxed
# - ΔE_f: -0.823 eV per atom
# - Total magnetic moment: 0.0 μB/f.u.
data_LiTb2Ge3Rh4
_cell_length_a 4.109
_cell_length_b 4.109
_cell_length_c 10.422
_cell_angle_alpha 90.00
_cell_angle_beta 90.00
_cell_angle_gamma 90.00
_space_group_name_H-M_alt 'P 1'
_space_group_IT_number 1
loop_
_space_group_symop_operation_xyz
'x,y,z'
loop_
_atom_site_label
_atom_site_fract_x
_atom_site_fract_y
_atom_site_fract_z
Li1 0.500 0.500 0.500
Tb1 0.500 0.000 0.252
Tb2 0.000 0.500 0.748
Ge1 0.000 0.000 0.500
Ge2 0.500 0.000 0.869
Ge3 0.000 0.500 0.131
Rh1 0.500 0.500 0.000
Rh2 0.000 0.000 0.000
Rh3 0.500 0.000 0.636
Rh4 0.000 0.500 0.364



[13]
# CsLaCe2I8 PBE relaxed
# - Total magnetic moment: 4.1 μB/f.u.
# - Uncorrected formation energy: -1.2824 eV per atom
data_CsLaCe2I8
_cell_length_a 8.238
_cell_length_b 8.238
_cell_length_c 9.800
_cell_angle_alpha 90.00
_cell_angle_beta 90.00
_cell_angle_gamma 120.00
_space_group_name_H-M_alt 'P 1'
_space_group_IT_number 1
loop_
_space_group_symop_operation_xyz
'x,y,z'
loop_
_atom_site_label
_atom_site_fract_x
_atom_site_fract_y
_atom_site_fract_z
Cs1 0.000 0.000 0.500
La1 0.000 0.000 0.000
Ce1 0.667 0.333 0.090
Ce2 0.333 0.667 0.910
I1 0.927 0.630 0.837
I2 0.370 0.297 0.837
I3 0.703 0.073 0.837
I4 0.073 0.370 0.163
I5 0.630 0.703 0.163
I6 0.297 0.927 0.163
I7 0.667 0.333 0.407
I8 0.333 0.667 0.593



[14]
# Pr7ErTm4 PBE relaxed
# - ΔE_f: 0.216 eV per atom
# - Polymorph energy (0 for the lowest one): 205.7 meV per atom
# - Total magnetic moment: 0.0 μB/f.u.
data_Pr7ErTm4
_cell_length_a 6.029
_cell_length_b 9.723
_cell_length_c 8.639
_cell_angle_alpha 62.08
_cell_angle_beta 69.58
_cell_angle_gamma 71.94
_space_group_name_H-M_alt 'P 1'
_space_group_IT_number 1
loop_
_space_group_symop_operation_xyz
'x,y,z'
loop_
_atom_site_label
_atom_site_fract_x
_atom_site_fract_y
_atom_site_fract_z
Pr1 0.788 0.889 0.534
Pr2 0.212 0.111 0.466
Pr3 0.088 0.547 0.277
Pr4 0.912 0.453 0.723
Pr5 0.218 0.752 0.812
Pr6 0.500 0.000 0.000
Pr7 0.782 0.248 0.188
Er1 0.000 0.000 0.000
Tm1 0.567 0.300 0.565
Tm2 0.433 0.700 0.435
Tm3 0.668 0.627 0.037
Tm4 0.332 0.373 0.963



[15]
# Li2ZrTl4 PBE relaxed
# - ΔE_f: -0.145 eV per atom
# - Total magnetic moment: 0.0 μB/f.u.
data_Li2ZrTl4
_cell_length_a 6.049
_cell_length_b 6.049
_cell_length_c 6.049
_cell_angle_alpha 107.38
_cell_angle_beta 110.53
_cell_angle_gamma 110.53
_space_group_name_H-M_alt 'P 1'
_space_group_IT_number 1
loop_
_space_group_symop_operation_xyz
'x,y,z'
loop_
_atom_site_label
_atom_site_fract_x
_atom_site_fract_y
_atom_site_fract_z
Li1 0.500 0.500 0.000
Li2 0.500 0.000 0.500
Zr1 0.000 0.000 0.000
Tl1 0.500 0.000 0.000
Tl2 0.500 0.500 0.500
Tl3 0.000 0.000 0.500
Tl4 0.000 0.500 0.000



[16]
# NaZr PBE relaxed
# - ΔE_f: 1.270 eV per atom
# - Polymorph energy (0 for the lowest one): 1087.1 meV per atom
# - Total magnetic moment: 1.0 μB/f.u.
data_NaZr
_cell_length_a 10.129
_cell_length_b 10.129
_cell_length_c 10.129
_cell_angle_alpha 90.00
_cell_angle_beta 90.00
_cell_angle_gamma 90.00
_space_group_name_H-M_alt 'P 1'
_space_group_IT_number 1
loop_
_space_group_symop_operation_xyz
'x,y,z'
loop_
_atom_site_label
_atom_site_fract_x
_atom_site_fract_y
_atom_site_fract_z
Na1 0.205 0.205 0.205
Na2 0.205 0.795 0.795
Na3 0.795 0.205 0.795
Na4 0.795 0.795 0.205
Na5 0.705 0.705 0.705
Na6 0.705 0.295 0.295
Na7 0.295 0.705 0.295
Na8 0.295 0.295 0.705
Zr1 0.402 0.402 0.402
Zr2 0.402 0.598 0.598
Zr3 0.598 0.402 0.598
Zr4 0.598 0.598 0.402
Zr5 0.902 0.902 0.902
Zr6 0.902 0.098 0.098
Zr7 0.098 0.902 0.098
Zr8 0.098 0.098 0.902



[17]
# LiHf2TcPt PBE relaxed
# - ΔE_f: 0.469 eV per atom
# - Total magnetic moment: 0.0 μB/f.u.
data_LiHf2TcPt
_cell_length_a 4.641
_cell_length_b 3.954
_cell_length_c 4.641
_cell_angle_alpha 90.00
_cell_angle_beta 90.00
_cell_angle_gamma 90.00
_space_group_name_H-M_alt 'P 1'
_space_group_IT_number 1
loop_
_space_group_symop_operation_xyz
'x,y,z'
loop_
_atom_site_label
_atom_site_fract_x
_atom_site_fract_y
_atom_site_fract_z
Hf1 0.000 0.000 0.500
Hf2 0.500 0.000 0.000
Tc1 0.000 0.500 0.000
Pt1 0.500 0.500 0.500
Li1 0.000 0.000 0.000



[18]
# CuAu3Cl PBE relaxed
# - Polymorph energy (0 for the lowest one): 515.0 meV per atom
# - Total magnetic moment: 0.0 μB/f.u.
# - Uncorrected formation energy: 1.1214 eV per atom
data_CuAu3Cl
_cell_length_a 4.956
_cell_length_b 4.956
_cell_length_c 4.956
_cell_angle_alpha 90.00
_cell_angle_beta 90.00
_cell_angle_gamma 90.00
_space_group_name_H-M_alt 'P 1'
_space_group_IT_number 1
loop_
_space_group_symop_operation_xyz
'x,y,z'
loop_
_atom_site_label
_atom_site_fract_x
_atom_site_fract_y
_atom_site_fract_z
Au1 0.000 0.500 0.000
Au2 0.000 0.000 0.500
Au3 0.500 0.000 0.000
Cu1 0.500 0.500 0.500
Cl1 0.000 0.000 0.000



[19]
# EuInPd PBE relaxed
# - ΔE_f: -0.540 eV per atom
# - Total magnetic moment: 7.1 μB/f.u.
data_EuInPd
_cell_length_a 4.854
_cell_length_b 4.854
_cell_length_c 4.854
_cell_angle_alpha 60.00
_cell_angle_beta 60.00
_cell_angle_gamma 60.00
_space_group_name_H-M_alt 'P 1'
_space_group_IT_number 1
loop_
_space_group_symop_operation_xyz
'x,y,z'
loop_
_atom_site_label
_atom_site_fract_x
_atom_site_fract_y
_atom_site_fract_z
Eu1 0.000 0.000 0.000
Pd1 0.250 0.250 0.250
In1 0.500 0.500 0.500



[20]
# Pm6In3Pb PBE relaxed
# - ΔE_f: -0.280 eV per atom
# - Total magnetic moment: 0.4 μB/f.u.
data_Pm6In3Pb
_cell_length_a 3.707
_cell_length_b 11.974
_cell_length_c 14.646
_cell_angle_alpha 104.44
_cell_angle_beta 90.00
_cell_angle_gamma 90.00
_space_group_name_H-M_alt 'P 1'
_space_group_IT_number 1
loop_
_space_group_symop_operation_xyz
'x,y,z'
loop_
_atom_site_label
_atom_site_fract_x
_atom_site_fract_y
_atom_site_fract_z
Pm1 0.750 0.509 0.682
Pm2 0.250 0.491 0.318
Pm3 0.750 0.849 0.123
Pm4 0.250 0.151 0.877
Pm5 0.750 0.386 0.086
Pm6 0.250 0.614 0.914
Pm7 0.750 0.735 0.325
Pm8 0.250 0.265 0.675
Pm9 0.750 0.136 0.474
Pm10 0.250 0.864 0.526
Pm11 0.750 0.811 0.761
Pm12 0.250 0.189 0.239
In1 0.750 0.384 0.863
In2 0.250 0.616 0.137
In3 0.750 0.631 0.511
In4 0.250 0.369 0.489
In5 0.750 0.101 0.051
In6 0.250 0.899 0.949
Pb1 0.750 0.039 0.682
Pb2 0.250 0.961 0.318